First-principles (PBE) data for a relaxed structure of HfNi3, as listed in the Alexandria database.

Properties
Density ... 11.39 Mg/m³
ΔE_f ... -2.14 eV/f.u.

a = 7.1129 Å, b = 7.1129 Å, c = 7.1129 Å
α = 43.57°, β = 43.57°, γ = 43.57°
Positions (direct):
Hf 0.0000 0.0000 0.0000
Hf 0.7813 0.7813 0.7813
Hf 0.2187 0.2187 0.2187
Ni 0.5000 0.0000 0.5000
Ni 0.2873 0.7557 0.2873
Ni 0.7127 0.2443 0.7127
Ni 0.7557 0.2873 0.2873
Ni 0.0000 0.5000 0.5000
Ni 0.2873 0.2873 0.7557
Ni 0.5000 0.5000 0.0000
Ni 0.2443 0.7127 0.7127
Ni 0.7127 0.7127 0.2443